DyCrClO4 | GGA+U | relaxed

```
DyCrClO4
1.0
4.9947 -3.5973 0.0000
4.9947 3.5973 0.0000
-1.7640 0.0000 6.4323
Dy Cr Cl O
2 2 2 8
Direct
0.2234 0.2234 0.1137
0.7766 0.7766 0.8863
0.3605 0.3605 0.7310
0.6395 0.6395 0.2690
0.0140 0.0140 0.7627
0.9860 0.9860 0.2373
0.1257 0.4914 0.8525
0.2861 0.2861 0.4807
0.4701 0.4701 0.2287
0.4914 0.1257 0.8525
0.5086 0.8743 0.1475
0.5299 0.5299 0.7713
0.7139 0.7139 0.5193
0.8743 0.5086 0.1475
```

Values from the calculation:
- theoretical density (g cm⁻³) = 4.51
- calculated total energy (eV per cell) = -95.877
- total magnetization (μB/f.u.) = 0.000